Compound: Te3RhF
Source: Alexandria via LeMat-Bulk
Functional: GGA-PBEsol
Structure: optimized geometry

Output
* D(E_F): 1.2823 states/eV per atom
* total magnetic moment: 0.000 μB per cell
* SG: Pm-3m (221)
* final energy: -3.94 eV/atom

a b c (Å): 5.1022 5.1022 5.1022
angles (deg): 90.00 90.00 90.00
Positions (direct):
Rh  0.0000  0.0000  0.0000
Te  0.0000  0.5000  0.0000
Te  0.5000  0.0000  0.0000
F  0.5000  0.5000  0.5000
Te  0.0000  0.0000  0.5000

***

Compound: LiFeSbO4
Source: Alexandria via LeMat-Bulk
Functional: GGA-PBEsol
Structure: optimized geometry

Output
* D(E_F): 0.2360 states/eV per atom
* total magnetic moment: 16.222 μB per cell
* SG: P4_322 (95)
* final energy: -6.67 eV/atom
* E above lowest polymorph: 0.0 meV per atom

a b c (Å): 6.0752 6.0752 8.5177
angles (deg): 90.00 90.00 90.00
Positions (direct):
Sb  0.2749  0.0000  0.7500
O  0.5065  0.7585  0.2488
Fe  0.2501  0.2501  0.1250
O  0.9823  0.2367  0.2588
O  0.7633  0.0177  0.4912
O  0.2415  0.5065  0.9988
O  0.2367  0.0177  0.5088
Sb  0.0000  0.2749  0.5000
Li  0.2939  0.5000  0.7500
Li  0.7061  0.5000  0.2500
O  0.7585  0.5065  0.0012
O  0.0177  0.7633  0.7588
O  0.4935  0.2415  0.7488
O  0.7585  0.4935  0.4988
Fe  0.2501  0.7499  0.3750
O  0.2367  0.9823  0.9912
Fe  0.7499  0.2501  0.8750
Li  0.5000  0.7061  0.0000
O  0.7633  0.9823  0.0088
O  0.9823  0.7633  0.2412
Fe  0.7499  0.7499  0.6250
Li  0.5000  0.2939  0.5000
O  0.2415  0.4935  0.5012
Sb  0.7251  0.0000  0.2500
O  0.5065  0.2415  0.2512
Sb  0.0000  0.7251  0.0000
O  0.0177  0.2367  0.7412
O  0.4935  0.7585  0.7512

***

Compound: TeRh2
Source: Alexandria via LeMat-Bulk
Functional: GGA-PBEsol
Structure: optimized geometry

Output
* D(E_F): 0.5598 states/eV per atom
* total magnetic moment: 0.000 μB per cell
* SG: P-62m (189)
* final energy: -6.77 eV/atom
* E above lowest polymorph: 0.0 meV per atom

a b c (Å): 3.6412 6.8166 6.8166
angles (deg): 120.00 90.00 90.00
Positions (direct):
Te  0.0000  0.6667  0.3333
Rh  0.5000  0.0000  0.6146
Rh  0.5000  0.6146  0.0000
Rh  0.0000  0.0000  0.2703
Rh  0.0000  0.7297  0.7297
Rh  0.0000  0.2703  0.0000
Te  0.0000  0.3333  0.6667
Te  0.5000  0.0000  0.0000
Rh  0.5000  0.3854  0.3854

***

Compound: Cs2InSbBr6
Source: Alexandria via LeMat-Bulk
Functional: GGA-PBEsol
Structure: optimized geometry

Output
* D(E_F): 0.0088 states/eV per atom
* total magnetic moment: 0.000 μB per cell
* SG: Fm-3m (225)
* final energy: -3.19 eV/atom

a b c (Å): 8.1268 8.1268 8.1268
angles (deg): 60.00 60.00 60.00
Positions (direct):
In  0.5000  0.5000  0.5000
Cs  0.7500  0.7500  0.7500
Sb  0.0000  0.0000  0.0000
Br  0.7567  0.2433  0.2433
Br  0.7567  0.2433  0.7567
Br  0.2433  0.7567  0.7567
Cs  0.2500  0.2500  0.2500
Br  0.2433  0.2433  0.7567
Br  0.7567  0.7567  0.2433
Br  0.2433  0.7567  0.2433

***

Compound: YAl3Os
Source: Alexandria via LeMat-Bulk
Functional: GGA-PBEsol
Structure: optimized geometry

Output
* D(E_F): 0.2756 states/eV per atom
* total magnetic moment: 0.000 μB per cell
* ΔE_f: -0.188 eV per atom
* SG: Pm-3m (221)
* final energy: -6.45 eV/atom

a b c (Å): 4.6733 4.6733 4.6733
angles (deg): 90.00 90.00 90.00
Positions (direct):
Al  0.0000  0.5000  0.0000
Al  0.0000  0.0000  0.5000
Y  0.5000  0.5000  0.5000
Al  0.5000  0.0000  0.0000
Os  0.0000  0.0000  0.0000

***

Compound: Ti2Nb2Cu3O12
Source: Alexandria via LeMat-Bulk
Functional: GGA-PBEsol
Structure: optimized geometry

Output
* D(E_F): 0.2482 states/eV per atom
* total magnetic moment: 2.640 μB per cell
* SG: C2/m (12)
* final energy: -8.04 eV/atom

a b c (Å): 6.4121 6.4121 6.4719
angles (deg): 109.55 109.49 108.99
Positions (direct):
O  0.1759  0.6862  0.8621
O  0.3151  0.4924  0.1818
O  0.8668  0.1775  0.6855
O  0.1332  0.8225  0.3145
O  0.4920  0.1813  0.3145
Cu  0.0000  0.5000  0.5000
Nb  0.5000  0.0000  0.0000
Cu  0.5000  0.0000  0.5000
O  0.8179  0.6874  0.5054
Ti  0.5000  0.5000  0.5000
O  0.5080  0.8187  0.6855
Ti  0.0000  0.0000  0.5000
O  0.6894  0.8666  0.1818
Cu  0.5000  0.5000  0.0000
O  0.1821  0.3126  0.4946
O  0.3106  0.1334  0.8182
O  0.8241  0.3138  0.1379
O  0.6849  0.5076  0.8182
Nb  0.0000  0.5000  0.0000

***

Compound: NaCdAs
Source: Alexandria via LeMat-Bulk
Functional: GGA-PBEsol
Structure: optimized geometry

Output
* D(E_F): 0.0384 states/eV per atom
* total magnetic moment: 0.000 μB per cell
* ΔE_f: -0.371 eV per atom
* SG: Pnma (62)
* final energy: -2.94 eV/atom

a b c (Å): 4.4363 7.4957 8.0236
angles (deg): 90.00 90.00 90.00
Positions (direct):
Cd  0.2500  0.1505  0.5740
As  0.2500  0.7787  0.6098
As  0.7500  0.2213  0.3902
Na  0.2500  0.5178  0.3256
Cd  0.2500  0.6505  0.9260
Cd  0.7500  0.8495  0.4260
Na  0.2500  0.0178  0.1744
As  0.7500  0.7213  0.1098
As  0.2500  0.2787  0.8902
Cd  0.7500  0.3495  0.0740
Na  0.7500  0.9822  0.8256
Na  0.7500  0.4822  0.6744

***

Compound: Dy3Y
Source: Alexandria via LeMat-Bulk
Functional: GGA-PBEsol
Structure: optimized geometry

Output
* D(E_F): 1.2684 states/eV per atom
* total magnetic moment: 0.000 μB per cell
* ΔE_f: 0.017 eV per atom
* SG: I4/mmm (139)
* final energy: -5.42 eV/atom
* E above lowest polymorph: 3.0 meV per atom

a b c (Å): 4.9167 4.9167 6.0236
angles (deg): 114.09 114.09 90.00
Positions (direct):
Y  0.0000  0.0000  0.0000
Dy  0.7500  0.2500  0.5000
Dy  0.5000  0.5000  0.0000
Dy  0.2500  0.7500  0.5000

***

Question: The lowest final energy belongs to which entry?
Answer: Ti2Nb2Cu3O12

***

Question: The highest final energy belongs to which entry?
Answer: NaCdAs

***

Question: What is the formula in the seventh record?
Answer: NaCdAs